1.
Entry from the Alexandria database: an optimized crystal structure of SiIr2Pt (PBE).

```
SiIr2Pt
1.0
-1.940 1.940 3.820
1.940 -1.940 3.820
1.940 1.940 -3.820
Si Ir Pt
1 2 1
Direct
0.000 0.000 0.000
0.250 0.750 0.500
0.500 0.500 0.000
0.750 0.250 0.500
```

Total magnetization: 0.000 μB per cell
Space-group type: No. 119

---

2.
Entry from the Alexandria database: an optimized crystal structure of SiIr2Pt (PBE).

```
SiIr2Pt
1.0
-1.985 1.985 3.653
1.985 -1.985 3.653
1.985 1.985 -3.653
Si Ir Pt
1 2 1
Direct
0.000 0.000 0.000
0.250 0.750 0.500
0.750 0.250 0.500
0.500 0.500 0.000
```

Total magnetization: 0.000 μB per cell
Space-group type: No. 139

---

3.
Entry from the Alexandria database: an optimized crystal structure of SiIr2Pt (PBE).

```
SiIr2Pt
1.0
4.658 -1.394 0.000
4.658 1.394 0.000
-1.897 0.000 4.503
Si Ir Pt
1 2 1
Direct
0.000 0.000 0.000
0.468 0.468 0.567
0.696 0.696 0.373
0.266 0.266 0.920
```

Total magnetization: 0.000 μB per cell
Space-group type: No. 8

---

4.
Entry from the Alexandria database: an optimized crystal structure of Si2IrPt2 (PBE).

```
Si2IrPt2
1.0
6.625 0.000 0.000
0.000 6.625 0.000
0.000 0.000 3.305
Si Ir Pt
4 2 4
Direct
0.149 0.351 0.000
0.351 0.851 0.000
0.649 0.149 0.000
0.851 0.649 0.000
0.000 0.000 0.000
0.500 0.500 0.000
0.147 0.647 0.500
0.353 0.147 0.500
0.647 0.853 0.500
0.853 0.353 0.500
```

Total magnetization: 0.000 μB per cell
Space-group type: No. 127

---

no.,calculated total energy (eV for the cell shown)
1,-29.4
2,-29.5
3,-30.1
4,-67.2